1.
A plane-wave DFT calculation with PBE-GGA was carried out for a geometry-optimized TaNb2Cu2Rh5 structure.

M_tot = 0.00 μB/cell
energy relative to the elements = -0.1995 eV/atom

Unit cell a=8.9671 b=8.9671 c=3.7940 alpha=90.00 beta=90.00 gamma=90.00
Space group P4/mbm (No. 127)
Symmetry-distinct sites (fractional):
Ta 0.0000 0.0000 0.0000 x2
Nb 0.1739 0.3261 0.0000 x4
Cu 0.1211 0.6211 0.0000 x4
Rh 0.0000 0.5000 0.5000 x2
Rh 0.0912 0.8037 0.5000 x8

=====

2.
A plane-wave DFT calculation with PBE-GGA was carried out for a geometry-optimized Tb15SmTl4 structure.

M_tot = 2.09 μB/cell
energy relative to the elements = -0.1369 eV/atom

Unit cell a=4.8780 b=4.8780 c=24.9293 alpha=90.00 beta=90.00 gamma=90.00
Space group P4/mmm (No. 123)
Symmetry-distinct sites (fractional):
Tb 0.0000 0.0000 0.0000 x1
Tb 0.0000 0.0000 0.2054 x2
Tb 0.0000 0.0000 0.4021 x2
Tb 0.0000 0.5000 0.1055 x4
Tb 0.0000 0.5000 0.3036 x4
Tb 0.0000 0.5000 0.5000 x2
Sm 0.5000 0.5000 0.0000 x1
Tl 0.5000 0.5000 0.2069 x2
Tl 0.5000 0.5000 0.4021 x2

=====

3.
A plane-wave DFT calculation with PBE-GGA was carried out for a geometry-optimized Pm6ZnCd3 structure.

M_tot = 0.00 μB/cell
energy relative to the elements = -0.2203 eV/atom

Unit cell a=9.2974 b=5.4040 c=11.9461 alpha=90.00 beta=108.89 gamma=90.00
Space group P2_1/m (No. 11)
Symmetry-distinct sites (fractional):
Pm 0.0331 0.2500 0.4125 x2
Pm 0.1658 0.7500 0.1716 x2
Pm 0.2565 0.2500 0.0007 x2
Pm 0.3548 0.7500 0.8161 x2
Pm 0.3644 0.2500 0.3455 x2
Pm 0.4089 0.2500 0.6340 x2
Zn 0.4567 0.7500 0.0919 x2
Cd 0.0319 0.7500 0.8746 x2
Cd 0.1101 0.2500 0.7184 x2
Cd 0.2697 0.7500 0.4744 x2

=====

The highest energy relative to the elements belongs to which entry? Tb15SmTl4

=====

Among the records above, which one has the highest M_tot? Tb15SmTl4

=====

Look up the energy relative to the elements of the second one. -0.1369 eV/atom